Entry w
Density functional theory data (PBE with a Hubbard U) for VHgN2F after structural relaxation.

Properties
- magnetization (Bohr magnetons per cell) = 0.00

a b c (Å): 3.9055 3.9055 3.9858
angles (deg): 90.00 90.00 90.00
With the nearest neighbours (Å) after each atom.
Element x y z (fractional)
N (0.0000, 0.5000, 0.0000)  2 V 1.95
N (0.5000, 0.0000, 0.0000)  2 V 1.95
F (0.0000, 0.0000, 0.5000)  2 V 1.99
Hg (0.5000, 0.5000, 0.5000)  4 F 2.76, 8 N 2.79
V (0.0000, 0.0000, 0.0000)  4 N 1.95, 2 F 1.99


Entry x
Density functional theory data (PBE with a Hubbard U) for VHgN2F after structural relaxation.

Properties
- magnetization (Bohr magnetons per cell) = 1.23

a b c (Å): 4.1717 4.1717 4.5929
angles (deg): 90.00 90.00 90.00
With the nearest neighbours (Å) after each atom.
Element x y z (fractional)
N (0.0000, 0.5000, 0.0000)  2 Hg 2.09
N (0.5000, 0.0000, 0.0000)  2 Hg 2.09
F (0.0000, 0.0000, 0.5000)  2 Hg 2.30
Hg (0.0000, 0.0000, 0.0000)  4 N 2.09, 2 F 2.30
V (0.5000, 0.5000, 0.5000)  4 F 2.95, 8 N 3.10


Which one sits at the bottom of the stability order? entry x does.